Entry 1:
Computed, not measured: a relaxed Y3SnHg crystal at the PBE-GGA level of DFT.

Output
energy relative to the lowest polymorph listed for this composition: 0.0 kJ per mole of atoms
DOS at the Fermi energy: 4.6 states/eV/f.u.

Unit cell a=6.888 b=10.914 c=10.914 alpha=48.84 beta=108.38 gamma=108.38
Fractional positions:
Y 0.431 0.182 0.180
Y 0.931 0.180 0.182
Y 0.860 0.235 0.486
Y 0.640 0.514 0.765
Y 0.569 0.818 0.820
Y 0.450 0.202 0.699
Y 0.360 0.486 0.235
Y 0.550 0.798 0.301
Y 0.950 0.699 0.202
Y 0.069 0.820 0.818
Y 0.140 0.765 0.514
Y 0.050 0.301 0.798
Hg 0.750 0.000 0.000
Hg 0.250 0.500 0.500
Hg 0.250 0.000 0.000
Hg 0.750 0.500 0.500
Sn 0.290 0.093 0.484
Sn 0.210 0.516 0.907
Sn 0.710 0.907 0.516
Sn 0.790 0.484 0.093

Entry 2:
Computed, not measured: a relaxed ZrRu2 crystal at the PBE-GGA level of DFT.

Output
total DFT energy (no corrections): -9.129 eV per atom
DOS at the Fermi energy: 2.4 states/eV/f.u.

Unit cell a=6.414 b=6.414 c=6.414 alpha=154.29 beta=154.29 gamma=36.68
Fractional positions:
Zr 0.333 0.333 0.000
Ru 0.650 0.650 0.000
Ru 0.017 0.017 0.000

Entry 3:
Computed, not measured: a relaxed SrLa2Tc crystal at the PBE-GGA level of DFT.

Output
energy relative to the lowest polymorph listed for this composition: 9.2 kJ per mole of atoms
DOS at the Fermi energy: 4.2 states/eV/f.u.

Unit cell a=6.611 b=6.611 c=6.855 alpha=59.80 beta=59.80 gamma=34.56
Fractional positions:
Tc 0.284 0.284 0.052
La 0.917 0.917 0.119
La 0.739 0.739 0.836
Sr 0.561 0.561 0.492

Entry 4:
Computed, not measured: a relaxed SnBSbP2 crystal at the PBE-GGA level of DFT.

Output
formation energy (no corrections): 1903 meV per atom
DOS at the Fermi energy: 4.9 states/eV/f.u.

Unit cell a=5.012 b=5.687 c=5.012 alpha=90.00 beta=90.00 gamma=90.00
Fractional positions:
P 0.500 0.000 0.000
P 0.000 0.000 0.500
Sn 0.000 0.000 0.000
Sb 0.000 0.500 0.000
B 0.500 0.500 0.500

Entry 5:
Computed, not measured: a relaxed CdNi2Mo crystal at the PBE-GGA level of DFT.

Output
total DFT energy (no corrections): -5.636 eV per atom
DOS at the Fermi energy: 3.7 states/eV/f.u.

Unit cell a=4.894 b=4.894 c=4.641 alpha=75.42 beta=75.42 gamma=31.98
Fractional positions:
Ni 0.014 0.014 0.037
Ni 0.729 0.729 0.725
Cd 0.487 0.487 0.549
Mo 0.269 0.269 0.189

Entry 6:
Computed, not measured: a relaxed SrLiEuCu crystal at the PBE-GGA level of DFT.

Output
total DFT energy (no corrections): -4.439 eV per atom
DOS at the Fermi energy: 10.2 states/eV/f.u.

Unit cell a=5.465 b=5.465 c=5.465 alpha=60.00 beta=60.00 gamma=60.00
Site moments in Bohr magnetons follow the coordinates.
Fractional positions:
Cu 0.250 0.250 0.250  0.00
Li 0.750 0.750 0.750  0.04
Sr 0.000 0.000 0.000  0.05
Eu 0.500 0.500 0.500  6.94

Entry 7:
Computed, not measured: a relaxed Rb2ReClF6 crystal at the PBE-GGA level of DFT.

Output
formation energy (no corrections): -2262 meV per atom
energy relative to the lowest polymorph listed for this composition: 0.0 kJ per mole of atoms
DOS at the Fermi energy: 9.9 states/eV/f.u.

Unit cell a=7.962 b=8.014 c=7.872 alpha=45.36 beta=40.07 gamma=47.36
Site moments in Bohr magnetons follow the coordinates.
Fractional positions:
F 0.451 0.581 0.695  0.05
F 0.959 0.549 0.180  0.05
F 0.244 0.271 0.900  0.06
F 0.181 0.051 0.408  0.05
F 0.673 0.084 0.923  0.05
F 0.388 0.361 0.203  0.06
Re 0.316 0.316 0.052  1.58
Rb 0.129 0.022 0.851  0.00
Rb 0.503 0.610 0.252  0.00
Cl 0.816 0.816 0.552  -0.02

Entry 8:
Computed, not measured: a relaxed AcPm8Tm5 crystal at the PBE-GGA level of DFT.

Output
total DFT energy (no corrections): -4.359 eV per atom
DOS at the Fermi energy: 21.4 states/eV/f.u.

Unit cell a=8.597 b=8.598 c=8.597 alpha=111.59 beta=105.31 gamma=111.59
Fractional positions:
Pm 0.343 0.260 0.415
Pm 0.584 0.928 0.845
Pm 0.675 0.396 0.929
Pm 0.533 0.604 0.279
Pm 0.155 0.740 0.083
Pm 0.721 0.254 0.325
Pm 0.917 0.072 0.657
Pm 0.071 0.746 0.467
Ac 0.250 0.500 0.750
Tm 0.500 0.000 0.500
Tm 0.276 0.087 0.955
Tm 0.868 0.913 0.188
Tm 0.812 0.680 0.724
Tm 0.045 0.320 0.132

Entry 9:
Computed, not measured: a relaxed CaSc2Ta crystal at the PBE-GGA level of DFT.

Output
energy relative to the lowest polymorph listed for this composition: 14.1 kJ per mole of atoms
DOS at the Fermi energy: 4.9 states/eV/f.u.

Unit cell a=5.000 b=3.072 c=6.619 alpha=76.59 beta=90.00 gamma=90.00
Fractional positions:
Ta 0.000 0.468 0.438
Ca 0.500 0.811 0.750
Sc 0.000 0.170 0.037
Sc 0.500 0.050 0.275

Entry 10:
Computed, not measured: a relaxed K2DyPtO4 crystal at the PBE-GGA level of DFT.

Output
formation energy (no corrections): -1703 meV per atom

Unit cell a=3.332 b=5.990 c=6.683 alpha=110.88 beta=90.00 gamma=90.00
Site moments in Bohr magnetons follow the coordinates.
Fractional positions:
O 0.000 0.702 0.216  0.18
O 0.000 0.298 0.784  0.18
O 0.500 0.204 0.163  0.02
O 0.500 0.796 0.837  0.02
K 0.000 0.500 0.500  0.01
K 0.500 0.000 0.500  0.00
Dy 0.500 0.500 0.000  -0.02
Pt 0.000 0.000 0.000  0.51

Entry 11:
Computed, not measured: a relaxed NdY2Hg3 crystal at the PBE-GGA level of DFT.

Output
total DFT energy (no corrections): -3.593 eV per atom
DOS at the Fermi energy: 6.5 states/eV/f.u.

Unit cell a=5.284 b=8.379 c=7.625 alpha=90.00 beta=90.00 gamma=71.62
Site moments in Bohr magnetons follow the coordinates.
Fractional positions:
Hg 0.500 0.000 0.739  0.01
Hg 0.164 0.673 0.262  0.01
Hg 0.500 0.000 0.261  0.01
Hg 0.836 0.327 0.738  0.01
Hg 0.164 0.673 0.738  0.01
Hg 0.836 0.327 0.262  0.01
Y 0.669 0.663 0.500  0.06
Y 0.000 0.000 0.000  0.13
Y 0.000 0.000 0.500  0.03
Y 0.331 0.337 0.500  0.06
Nd 0.334 0.332 0.000  0.17
Nd 0.666 0.668 0.000  0.17

Entry 12:
Computed, not measured: a relaxed MgZn2Ga2Ag4 crystal at the PBE-GGA level of DFT.

Output
total DFT energy (no corrections): -2.451 eV per atom
DOS at the Fermi energy: 1.6 states/eV/f.u.

Unit cell a=3.346 b=7.043 c=7.429 alpha=112.63 beta=90.00 gamma=103.74
Fractional positions:
Ag 0.205 0.410 0.326
Ag 0.471 0.941 0.671
Ag 0.529 0.059 0.329
Ag 0.795 0.590 0.674
Zn 0.127 0.255 0.646
Zn 0.873 0.745 0.354
Ga 0.671 0.343 0.991
Ga 0.329 0.657 0.009
Mg 0.000 0.000 0.000